(1)
A relaxed structure of DyPaFeTc, computed with PBE.

total DFT energy (no corrections) = -8.25 eV per atom
space-group type = No. 216
DFT formation energy = -2.0 kJ per mole of atoms

Cell: 4.787 4.787 4.787 Å, 60.00 60.00 60.00°
Site moments in Bohr magnetons follow the coordinates.
Atoms (fractional coordinates):
Tc (0.750, 0.750, 0.750)  0.08
Fe (0.250, 0.250, 0.250)  0.76
Pa (0.500, 0.500, 0.500)  -0.21
Dy (0.000, 0.000, 0.000)  -0.08

***

(2)
A relaxed structure of PrRh6, computed with PBE.

total DFT energy (no corrections) = -6.60 eV per atom
space-group type = No. 229
DFT formation energy = 37.3 kJ per mole of atoms

Cell: 5.850 5.850 5.850 Å, 109.47 109.47 109.47°
Atoms (fractional coordinates):
Rh (0.750, 0.250, 0.500)
Pr (0.000, 0.000, 0.000)
Rh (0.500, 0.750, 0.250)
Rh (0.500, 0.250, 0.750)
Rh (0.750, 0.500, 0.250)
Rh (0.250, 0.500, 0.750)
Rh (0.250, 0.750, 0.500)

***

(3)
A relaxed structure of Te2As, computed with PBE.

formation energy without anion corrections = 0.21 eV/atom
total DFT energy (no corrections) = -3.44 eV per atom
space-group type = No. 63

Cell: 12.798 12.798 3.909 Å, 90.00 90.00 162.98°
Atoms (fractional coordinates):
Te (0.420, 0.580, 0.250)
Te (0.223, 0.777, 0.750)
Te (0.777, 0.223, 0.250)
As (0.117, 0.883, 0.250)
As (0.883, 0.117, 0.750)
Te (0.580, 0.420, 0.750)

***

(4)
A relaxed structure of MgSbN2F, computed with PBE.

formation energy without anion corrections = 0.10 eV/atom
total DFT energy (no corrections) = -4.75 eV per atom
space-group type = No. 123

Cell: 4.175 4.175 3.691 Å, 90.00 90.00 90.00°
Site moments in Bohr magnetons follow the coordinates.
Atoms (fractional coordinates):
Sb (0.500, 0.500, 0.500)  -0.07
Mg (0.000, 0.000, 0.000)  0.01
N (0.500, 0.000, 0.000)  0.75
N (0.000, 0.500, 0.000)  0.75
F (0.000, 0.000, 0.500)  0.01

***

(5)
A relaxed structure of Ga3Co2Pd, computed with PBE.

total DFT energy (no corrections) = -5.11 eV per atom
space-group type = No. 123
DFT formation energy = -34.9 kJ per mole of atoms

Cell: 2.824 2.824 9.753 Å, 90.00 90.00 90.00°
Atoms (fractional coordinates):
Ga (0.000, 0.000, 0.000)
Ga (0.000, 0.000, 0.311)
Ga (0.000, 0.000, 0.689)
Co (0.500, 0.500, 0.844)
Pd (0.500, 0.500, 0.500)
Co (0.500, 0.500, 0.156)

***

(6)
A relaxed structure of HfTl2I2Cl4, computed with PBE.

formation energy without anion corrections = -1.29 eV/atom
total DFT energy (no corrections) = -4.09 eV per atom
space-group type = No. 12

Cell: 7.432 7.700 7.700 Å, 56.64 63.17 63.17°
Atoms (fractional coordinates):
Hf (0.500, 0.000, 0.000)
I (0.813, 0.756, 0.756)
Cl (0.693, 0.271, 0.800)
Cl (0.307, 0.729, 0.200)
Cl (0.693, 0.800, 0.271)
Tl (0.690, 0.256, 0.256)
Cl (0.307, 0.200, 0.729)
I (0.187, 0.244, 0.244)
Tl (0.310, 0.744, 0.744)

***

(7)
A relaxed structure of Pr2NpCo2N6, computed with PBE.

formation energy without anion corrections = -0.51 eV/atom
total DFT energy (no corrections) = -8.39 eV per atom
space-group type = No. 166

Cell: 5.593 5.593 6.470 Å, 64.39 64.39 60.00°
Site moments in Bohr magnetons follow the coordinates.
Atoms (fractional coordinates):
Co (0.399, 0.399, 0.803)  0.17
N (0.752, 0.752, 0.268)  -0.01
N (0.772, 0.248, 0.732)  -0.01
Np (0.000, 0.000, 0.000)  0.75
Pr (0.786, 0.786, 0.642)  -0.01
Co (0.601, 0.601, 0.197)  0.17
N (0.248, 0.772, 0.732)  -0.01
N (0.228, 0.752, 0.268)  -0.01
N (0.248, 0.248, 0.732)  -0.01
Pr (0.214, 0.214, 0.358)  -0.01
N (0.752, 0.228, 0.268)  -0.01

***

(8)
A relaxed structure of AgPtNO2, computed with PBE.

formation energy without anion corrections = 1.63 eV/atom
total DFT energy (no corrections) = -3.79 eV per atom
space-group type = No. 123

Cell: 4.081 4.081 4.017 Å, 90.00 90.00 90.00°
Site moments in Bohr magnetons follow the coordinates.
Atoms (fractional coordinates):
O (0.500, 0.000, 0.000)  0.47
Ag (0.000, 0.000, 0.000)  0.12
Pt (0.500, 0.500, 0.500)  1.11
O (0.000, 0.500, 0.000)  0.47
N (0.000, 0.000, 0.500)  0.77

***

(9)
A relaxed structure of CdPb4, computed with PBE.

total DFT energy (no corrections) = -3.12 eV per atom
space-group type = No. 87
DFT formation energy = 2.8 kJ per mole of atoms

Cell: 6.102 6.102 6.102 Å, 98.78 98.78 134.00°
Atoms (fractional coordinates):
Pb (0.406, 0.206, 0.612)
Pb (0.206, 0.594, 0.800)
Pb (0.594, 0.794, 0.388)
Pb (0.794, 0.406, 0.200)
Cd (0.000, 0.000, 0.000)

***

(10)
A relaxed structure of HoTm2Cd, computed with PBE.

total DFT energy (no corrections) = -3.61 eV per atom
space-group type = No. 225
DFT formation energy = 0.3 kJ per mole of atoms

Cell: 5.381 5.381 5.381 Å, 60.00 60.00 60.00°
Atoms (fractional coordinates):
Tm (0.250, 0.250, 0.250)
Cd (0.500, 0.500, 0.500)
Tm (0.750, 0.750, 0.750)
Ho (0.000, 0.000, 0.000)

***

(11)
A relaxed structure of CeHoCdOs, computed with PBE.

total DFT energy (no corrections) = -5.94 eV per atom
space-group type = No. 99
DFT formation energy = -26.8 kJ per mole of atoms

Cell: 3.338 3.338 8.424 Å, 90.00 90.00 90.00°
Atoms (fractional coordinates):
Os (0.000, 0.000, 0.567)
Cd (0.000, 0.000, 0.079)
Ho (0.500, 0.500, 0.362)
Ce (0.500, 0.500, 0.776)

***

Number 1: D(E_F) 3.09 states/eV/f.u.. Number 2: D(E_F) 8.45 states/eV/f.u.. Number 3: D(E_F) 1.46 states/eV/f.u.. Number 4: D(E_F) 1.58 states/eV/f.u.. Number 5: D(E_F) 2.68 states/eV/f.u.. Number 6: D(E_F) 0.00 states/eV/f.u.. Number 7: D(E_F) 11.04 states/eV/f.u.. Number 8: D(E_F) 4.64 states/eV/f.u.. Number 9: D(E_F) 3.10 states/eV/f.u.. Number 10: D(E_F) 5.38 states/eV/f.u.. Number 11: D(E_F) 3.82 states/eV/f.u..